Density functional theory data (PBE) for a relaxed structure of Ce2InGe4Rh3.

Results
E_form, meV/atom: -707
Size of the total moment, Bohr magnetons per cell: 0.79

a b c (Å): 4.2645 4.2645 10.5935
angles (deg): 90.00 90.00 90.00
Fractional positions:
Ce1 0.0000 0.5000 0.2348
Ce2 0.5000 0.0000 0.7652
In1 0.0000 0.0000 0.5000
Ge1 0.0000 0.0000 0.0000
Ge2 0.0000 0.5000 0.6534
Ge3 0.5000 0.0000 0.3466
Ge4 0.5000 0.5000 0.0000
Rh1 0.0000 0.5000 0.8807
Rh2 0.5000 0.0000 0.1193
Rh3 0.5000 0.5000 0.5000